(1)
## ZnBiPtO6 (GGA-PBE)

Data for ZnBiPtO6 after structural relaxation.

## Properties
ΔE_f (raw) (eV/atom): -0.713
Volume (A^3/atom): 12.42

a = 5.4296 Å, b = 5.4296 Å, c = 8.7557 Å
α = 90.00°, β = 90.00°, γ = 120.00°
Space group P-31c (No. 163)
Unique sites:
Zn 0.0000 0.0000 0.0000 x2
Bi 0.3333 0.6667 0.2500 x2
Pt 0.3333 0.6667 0.7500 x2
O 0.0259 0.3585 0.6255 x12

---

(2)
## ZnBi2PtO6 (GGA-PBE)

Data for ZnBi2PtO6 after structural relaxation.

## Properties
ΔE_f (raw) (eV/atom): -1.030
Volume (A^3/atom): 13.10

a = 5.597 Å, b = 5.913 Å, c = 9.585 Å
α = 90.00°, β = 124.32°, γ = 90.00°
Space group P2_1/c (No. 14)
Unique sites:
Zn 0.000 0.000 0.000 x2
Bi 0.239 0.067 0.731 x4
Pt 0.500 0.000 0.500 x2
O 0.152 0.046 0.256 x4
O 0.205 0.674 0.024 x4
O 0.363 0.223 0.070 x4

---

(3)
## PuBi3O8 (GGA-PBE)

Data for PuBi3O8 after structural relaxation.

## Properties
ΔE_f (raw) (eV/atom): -1.555
Volume (A^3/atom): 13.68

a = 5.476 Å, b = 5.476 Å, c = 5.476 Å
α = 90.00°, β = 90.00°, γ = 90.00°
Space group Pm-3m (No. 221)
Unique sites:
Pu 0.000 0.000 0.000 x1
Bi 0.000 0.500 0.500 x3
O 0.237 0.237 0.237 x8

---

(4)
## Pu6Bi4O19 (GGA-PBE)

Data for Pu6Bi4O19 after structural relaxation.

## Properties
ΔE_f (raw) (eV/atom): -2.220
Volume (A^3/atom): 16.44

a = 9.843 Å, b = 9.843 Å, c = 9.843 Å
α = 90.00°, β = 90.00°, γ = 90.00°
Space group I23 (No. 197)
Unique sites:
Pu 0.000 0.327 0.500 x12
Bi 0.148 0.148 0.852 x8
O 0.000 0.000 0.000 x2
O 0.000 0.000 0.365 x12
O 0.054 0.310 0.716 x24

---

> ΔE_f (raw) of number 2 (ZnBi2PtO6)?

-1.030 eV/atom

---

> Which of these has the highest volume?

Pu6Bi4O19

---

> Among the records above, which one has the highest ΔE_f (raw)?

ZnBiPtO6

---

> Number 1 is which compound?

ZnBiPtO6